Cs3Sn4Cl12 PBE optimized geometry; ΔE_f (raw) = -1.34 eV per atom; space-group type = Im-3; magnetization = 0.0 μB per cell; DOS(E_F) = 0.24 states/eV/atom
1.0
-9.094 -2.690 1.243
4.701 -6.788 -4.828
4.136 1.293 8.526
Cs Sn Cl
3 4 12
Direct
0.500 0.500 0.000 Cs
0.000 0.500 0.500 Cs
0.500 0.000 0.500 Cs
0.500 0.500 0.500 Sn
0.500 0.000 0.000 Sn
0.000 0.000 0.500 Sn
0.000 0.500 0.000 Sn
0.257 0.745 0.002 Cl
0.743 0.255 0.998 Cl
0.257 0.255 0.511 Cl
0.255 0.998 0.743 Cl
0.002 0.257 0.745 Cl
0.489 0.743 0.745 Cl
0.745 0.489 0.743 Cl
0.998 0.743 0.255 Cl
0.743 0.745 0.489 Cl
0.745 0.002 0.257 Cl
0.511 0.257 0.255 Cl
0.255 0.511 0.257 Cl